[1]
The following is a DFT calculation (PBE) of crystalline ZnSbW2 at its relaxed geometry.

Properties
For the total DFT energy (no corrections), the calculation gives -7.354 eV per atom. The calculation puts the density of states at the Fermi level at 0.58 states/eV/atom. The calculation puts the formation energy (no corrections) at 182 kJ/mol of formula units. The value obtained for the magnetic moment is 0.000 μB per atom.

Cell lengths 3.3435, 4.6992, 9.6081 Å; angles 90.00, 90.00, 90.00 degrees
Last column: nearest neighbours and their distance in Å.
Space group Cmm2 (No. 35)
Unique sites:
Zn1 0.0000 0.0000 0.0000  2 W 2.69, 4 Zn 2.88
Sb1 0.0000 0.5000 0.3165  4 Sb 2.88, 2 W 2.91
W1 0.0000 0.0000 0.5648  6 W 2.67-2.88, 2 Sb 2.91
W2 0.0000 0.5000 0.7812  6 W 2.67-2.88, 2 Zn 2.69



[2]
The following is a DFT calculation (PBE) of crystalline PrThZnNi at its relaxed geometry.

Properties
For the total DFT energy (no corrections), the calculation gives -4.976 eV per atom. For the formation energy, the calculation gives -0.16 eV per atom. The calculation puts the density of states at the Fermi level at 1.12 states/eV/atom. The value obtained for the magnetic moment is 0.000 μB per atom.

Cell lengths 7.2074, 7.2074, 7.2074 Å; angles 90.00, 90.00, 90.00 degrees
Last column: nearest neighbours and their distance in Å.
Space group F-43m (No. 216)
Unique sites:
Pr1 0.0000 0.0000 0.0000  4 Ni 3.12, 4 Zn 3.12
Th1 0.0000 0.0000 0.5000  4 Zn 3.12, 4 Ni 3.12
Zn1 0.2500 0.2500 0.2500  4 Th 3.12, 4 Pr 3.12
Ni1 0.2500 0.2500 0.7500  4 Th 3.12, 4 Pr 3.12



[3]
The following is a DFT calculation (PBE) of crystalline Na2PrUN4 at its relaxed geometry.

Properties
For the total DFT energy (no corrections), the calculation gives -7.309 eV per atom. The calculation puts the density of states at the Fermi level at 0.41 states/eV/atom. The calculation puts the formation energy (no corrections) at -624 kJ/mol of formula units. The value obtained for the magnetic moment is 0.000 μB per atom.

Cell lengths 6.0636, 3.6229, 6.1474 Å; angles 90.00, 109.65, 90.00 degrees
Last column: nearest neighbours and their distance in Å.
Space group P2/m (No. 10)
Unique sites:
Na1 0.0000 0.0000 0.0000  6 N 2.59-2.63
Na2 0.0000 0.5000 0.5000  6 N 2.77-2.96
Pr1 0.5000 0.0000 0.5000  6 N 2.45-2.50
U1 0.5000 0.5000 0.0000  2 N 2.03
N1 0.3055 0.0000 0.7898  2 U 2.31, 1 Pr 2.45
N2 0.3111 0.5000 0.2173  1 U 2.03



[4]
The following is a DFT calculation (PBE) of crystalline Nd3TlPd at its relaxed geometry.

Properties
For the total DFT energy (no corrections), the calculation gives -4.696 eV per atom. For the formation energy, the calculation gives -0.32 eV per atom. The calculation puts the density of states at the Fermi level at 1.19 states/eV/atom. The value obtained for the magnetic moment is 0.000 μB per atom.

Cell lengths 10.3297, 15.1217, 4.1118 Å; angles 90.00, 90.00, 90.00 degrees
Last column: nearest neighbours and their distance in Å.
Space group Cmmm (No. 65)
Unique sites:
Nd1 0.0000 0.1717 0.0000  2 Pd 2.84
Nd2 0.1973 0.3827 0.5000  2 Pd 2.92
Tl1 0.0000 0.0000 0.5000  8 Nd 3.31-3.60
Tl2 0.0000 0.5000 0.0000  8 Nd 3.40
Pd1 0.2500 0.2500 0.0000  6 Nd 2.84-2.92



[5]
The following is a DFT calculation (PBE) of crystalline Pm6YTmTh2 at its relaxed geometry.

Properties
For the total DFT energy (no corrections), the calculation gives -5.274 eV per atom. For the formation energy, the calculation gives 0.15 eV per atom. The calculation puts the density of states at the Fermi level at 1.56 states/eV/atom. The value obtained for the magnetic moment is 0.000 μB per atom.

Cell lengths 9.0158, 14.8601, 10.4088 Å; angles 90.00, 103.85, 90.00 degrees
Last column: nearest neighbours and their distance in Å.
Space group C2/c (No. 15)
Unique sites:
Pm1 0.0735 0.1856 0.4502  2 Th 3.45-3.69, 6 Pm 3.50-3.85, 1 Y 3.54, 1 Tm 3.81
Pm2 0.0926 0.4015 0.6174  3 Th 3.32-3.60, 2 Tm 3.42-3.71, 4 Pm 3.44-3.63
Pm3 0.2041 0.2211 0.8253  6 Pm 3.44-3.85, 1 Tm 3.48, 2 Th 3.48-3.77, 1 Y 3.64
Y1 0.0000 0.0092 0.7500  4 Th 3.29-3.37, 4 Pm 3.54-3.64
Tm1 0.0000 0.4022 0.2500  8 Pm 3.42-3.81, 2 Th 3.53
Th1 0.2253 0.0420 0.0450  2 Y 3.29-3.37, 5 Pm 3.32-3.60, 1 Tm 3.53



[6]
The following is a DFT calculation (PBE) of crystalline LiPr2Au2 at its relaxed geometry.

Properties
For the total DFT energy (no corrections), the calculation gives -4.230 eV per atom. For the formation energy, the calculation gives -0.62 eV per atom. The calculation puts the density of states at the Fermi level at 0.93 states/eV/atom. The value obtained for the magnetic moment is 0.000 μB per atom.

Cell lengths 8.1129, 8.1129, 4.0112 Å; angles 90.00, 90.00, 90.00 degrees
Last column: nearest neighbours and their distance in Å.
Space group P4/mbm (No. 127)
Unique sites:
Li1 0.0000 0.0000 0.0000  4 Au 3.16
Pr1 0.1650 0.3350 0.5000  6 Au 3.05-3.16
Au1 0.1343 0.6343 0.0000  6 Pr 3.05-3.16, 1 Au 3.08, 2 Li 3.16



[7]
The following is a DFT calculation (PBE) of crystalline CaV2Fe at its relaxed geometry.

Properties
For the total DFT energy (no corrections), the calculation gives -6.433 eV per atom. For the formation energy, the calculation gives 0.74 eV per atom. The calculation puts the density of states at the Fermi level at 1.28 states/eV/atom. The value obtained for the magnetic moment is 0.673 μB per atom.

Cell lengths 6.4120, 6.4120, 6.4120 Å; angles 90.00, 90.00, 90.00 degrees
Last column: nearest neighbours and their distance in Å.
Space group Fm-3m (No. 225)
Unique sites:
Ca1 0.0000 0.0000 0.0000  8 V 2.78
V1 0.2500 0.2500 0.2500  4 Fe 2.78, 4 Ca 2.78
Fe1 0.0000 0.0000 0.5000  8 V 2.78



[8]
The following is a DFT calculation (PBE) of crystalline Mg3Ga4Ir2 at its relaxed geometry.

Properties
For the total DFT energy (no corrections), the calculation gives -4.265 eV per atom. For the formation energy, the calculation gives -0.42 eV per atom. The calculation puts the density of states at the Fermi level at 0.33 states/eV/atom. The value obtained for the magnetic moment is 0.000 μB per atom.

Cell lengths 9.7764, 4.3580, 7.4532 Å; angles 90.00, 106.25, 90.00 degrees
Last column: nearest neighbours and their distance in Å.
Space group C2/m (No. 12)
Unique sites:
Mg1 0.0000 0.0000 0.0000  2 Ir 2.66, 4 Ga 2.83
Mg2 0.0419 0.5000 0.3217  5 Ga 2.76-3.09, 3 Ir 2.78-3.08, 1 Mg 2.99
Ga1 0.1473 0.0000 0.5596  3 Ir 2.61-2.66, 2 Ga 2.77-2.85, 3 Mg 2.82-2.92
Ga2 0.1914 0.5000 0.0570  3 Ir 2.61-2.63, 3 Ga 2.71-2.85, 3 Mg 2.76-2.83
Ir1 0.2483 0.0000 0.2628  6 Ga 2.61-2.66, 2 Mg 2.66-2.78



[9]
The following is a DFT calculation (PBE) of crystalline Tb3Pr3PuTe8 at its relaxed geometry.

Properties
For the total DFT energy (no corrections), the calculation gives -5.889 eV per atom. The calculation puts the density of states at the Fermi level at 1.37 states/eV/atom. The calculation puts the formation energy (no corrections) at -1992 kJ/mol of formula units. The value obtained for the magnetic moment is 0.414 μB per atom.

Cell lengths 8.8559, 8.8559, 21.8697 Å; angles 90.00, 90.00, 120.00 degrees
Last column: nearest neighbours and their distance in Å.
Space group R-3m (No. 166, hexagonal axes)
Unique sites:
Tb1 0.0000 0.5000 0.0000  6 Te 3.09
Pr1 0.0000 0.5000 0.5000  6 Te 3.19
Pu1 0.0000 0.0000 0.0000  6 Te 3.20
Te1 0.0000 0.0000 0.2541  3 Tb 3.09, 3 Pr 3.19
Te2 0.0117 0.5058 0.2512  2 Tb 3.09, 2 Pr 3.19, 1 Pu 3.20



[10]
The following is a DFT calculation (PBE) of crystalline CaAlPb2 at its relaxed geometry.

Properties
For the total DFT energy (no corrections), the calculation gives -3.437 eV per atom. For the formation energy, the calculation gives -0.15 eV per atom. The calculation puts the density of states at the Fermi level at 0.50 states/eV/atom. The value obtained for the magnetic moment is 0.000 μB per atom.

Cell lengths 4.4139, 4.8107, 10.3546 Å; angles 90.00, 90.00, 90.00 degrees
Last column: nearest neighbours and their distance in Å.
Space group Imm2 (No. 44)
Unique sites:
Ca1 0.0000 0.0000 0.0000  8 Pb 3.29-3.52, 4 Al 3.35-3.59
Al1 0.0000 0.5000 0.7431  6 Pb 3.14-3.27, 2 Ca 3.35
Pb1 0.0000 0.0000 0.4594  2 Al 3.14, 4 Ca 3.29, 2 Pb 3.35
Pb2 0.0000 0.5000 0.2346  4 Al 3.27, 4 Pb 3.35-3.60, 4 Ca 3.42-3.52



[11]
The following is a DFT calculation (PBE) of crystalline Dy3YO6 at its relaxed geometry.

Properties
For the total DFT energy (no corrections), the calculation gives -8.558 eV per atom. The calculation puts the density of states at the Fermi level at 0.00 states/eV/atom. The calculation puts the formation energy (no corrections) at -3431 kJ/mol of formula units. The value obtained for the magnetic moment is 0.000 μB per atom.

Cell lengths 9.6542, 9.6542, 11.3603 Å; angles 90.00, 90.00, 120.00 degrees
Last column: nearest neighbours and their distance in Å.
Space group R-3 (No. 148, hexagonal axes)
Unique sites:
Dy1 0.0388 0.2655 0.2099  6 O 2.23-2.38
Y1 0.0000 0.0000 0.0000  6 O 2.25
Y2 0.0000 0.0000 0.5000  6 O 2.29
O1 0.0259 0.2191 0.4029  3 Dy 2.23-2.38, 1 Y 2.29
O2 0.0281 0.1878 0.8695  1 Y 2.25, 3 Dy 2.27-2.32



[12]
The following is a DFT calculation (PBE) of crystalline Ba4Al at its relaxed geometry.

Properties
For the total DFT energy (no corrections), the calculation gives -1.914 eV per atom. For the formation energy, the calculation gives 0.37 eV per atom. The calculation puts the density of states at the Fermi level at 1.43 states/eV/atom. The value obtained for the magnetic moment is 0.080 μB per atom.

Cell lengths 4.8634, 4.8634, 22.5220 Å; angles 90.00, 90.00, 90.00 degrees
Last column: nearest neighbours and their distance in Å.
Space group I4/mmm (No. 139)
Unique sites:
Ba1 0.0000 0.0000 0.0815  1 Ba 3.67, 4 Al 3.90
Ba2 0.0000 0.5000 0.2500  4 Ba 3.44
Al1 0.0000 0.0000 0.5000  8 Ba 3.90



What did the eleventh record say?
The following is a DFT calculation (PBE) of crystalline Dy3YO6 at its relaxed geometry.

Properties
For the total DFT energy (no corrections), the calculation gives -8.558 eV per atom. The calculation puts the density of states at the Fermi level at 0.00 states/eV/atom. The calculation puts the formation energy (no corrections) at -3431 kJ/mol of formula units. The value obtained for the magnetic moment is 0.000 μB per atom.

Cell lengths 9.6542, 9.6542, 11.3603 Å; angles 90.00, 90.00, 120.00 degrees
Last column: nearest neighbours and their distance in Å.
Space group R-3 (No. 148, hexagonal axes)
Unique sites:
Dy1 0.0388 0.2655 0.2099  6 O 2.23-2.38
Y1 0.0000 0.0000 0.0000  6 O 2.25
Y2 0.0000 0.0000 0.5000  6 O 2.29
O1 0.0259 0.2191 0.4029  3 Dy 2.23-2.38, 1 Y 2.29
O2 0.0281 0.1878 0.8695  1 Y 2.25, 3 Dy 2.27-2.32



Q: Look up the total DFT energy (no corrections) of the seventh one.
A: -6.433 eV per atom



Please write out number 2 again, unchanged.
The following is a DFT calculation (PBE) of crystalline PrThZnNi at its relaxed geometry.

Properties
For the total DFT energy (no corrections), the calculation gives -4.976 eV per atom. For the formation energy, the calculation gives -0.16 eV per atom. The calculation puts the density of states at the Fermi level at 1.12 states/eV/atom. The value obtained for the magnetic moment is 0.000 μB per atom.

Cell lengths 7.2074, 7.2074, 7.2074 Å; angles 90.00, 90.00, 90.00 degrees
Last column: nearest neighbours and their distance in Å.
Space group F-43m (No. 216)
Unique sites:
Pr1 0.0000 0.0000 0.0000  4 Ni 3.12, 4 Zn 3.12
Th1 0.0000 0.0000 0.5000  4 Zn 3.12, 4 Ni 3.12
Zn1 0.2500 0.2500 0.2500  4 Th 3.12, 4 Pr 3.12
Ni1 0.2500 0.2500 0.7500  4 Th 3.12, 4 Pr 3.12